Entry 1:
An optimized crystal structure of Na3Pr2ErS6, computed with PBE-GGA.

```
12
Lattice="7.093 -0.001 0.000 -3.546 6.143 0.000 -1.184 -2.050 6.698" Properties=species:S:1:pos:R:3 pbc="T T T"
Pr 3.546 2.047 0.000
Pr 0.001 4.095 0.000
Er 0.000 0.000 0.000
S -0.045 -0.078 5.159
S 2.278 -0.001 1.552
S 0.085 4.093 5.146
S 2.409 4.170 1.539
S 3.503 2.120 5.146
S -1.139 1.973 1.552
Na -2.371 4.098 3.349
Na 4.735 -0.006 3.349
Na 1.182 2.046 3.349
```

Computed properties:
Symmetry   No. 12
Crystal system   monoclinic
Raw formation energy   -1.7994 eV per atom

=====

Entry 2:
An optimized crystal structure of Tb3Sm6Dy2Y, computed with PBE-GGA.

```
12
Lattice="-3.431 3.799 -3.549 -2.785 -3.930 3.950 2.434 8.195 8.237" Properties=species:S:1:pos:R:3 pbc="T T T"
Sm -0.842 0.723 3.411
Sm -4.052 1.950 2.358
Sm -2.940 7.341 5.227
Sm 0.269 6.115 6.279
Sm -1.058 3.305 0.905
Sm -2.724 4.759 7.732
Y 0.000 0.000 0.000
Tb -1.891 4.032 4.319
Tb -1.676 1.456 6.819
Tb -2.107 6.609 1.819
Dy -3.216 1.223 -1.049
Dy -3.001 -1.353 1.450
```

Computed properties:
Formation enthalpy at 0 K   13 meV/atom
Symmetry   No. 12
Crystal system   monoclinic

=====

Entry 3:
An optimized crystal structure of Tb8Pm6Sn, computed with PBE-GGA.

```
15
Lattice="6.505 0.000 0.000 0.000 8.129 -4.694 0.000 0.000 9.387" Properties=species:S:1:pos:R:3 pbc="T T T"
Pm 4.399 7.390 0.916
Pm 2.105 0.740 3.778
Pm 2.105 4.488 3.445
Pm 4.399 5.228 -2.164
Pm 4.399 3.641 1.248
Pm 2.105 2.902 6.857
Tb 1.202 2.136 0.877
Tb 5.303 1.828 7.976
Tb 1.202 6.302 -3.282
Tb 5.303 0.308 2.288
Tb 1.202 7.821 2.405
Tb 5.522 2.710 4.694
Tb 0.983 5.420 0.000
Tb 5.303 5.993 3.816
Sn 3.252 0.000 0.000
```

Computed properties:
Formation enthalpy at 0 K   32 meV/atom
Symmetry   No. 147
Crystal system   trigonal

=====

Entry 4:
An optimized crystal structure of MnNiN2, computed with PBE-GGA.

```
4
Lattice="0.814 -1.206 6.004 0.712 -3.625 4.952 2.974 -2.265 4.918" Properties=species:S:1:pos:R:3 pbc="T T T"
N 0.453 -0.714 1.596
N 4.048 -6.382 14.277
Mn 2.250 -3.548 7.937
Ni 0.000 0.000 0.000
```

Computed properties:
Symmetry   No. 166
Crystal system   trigonal
Raw formation energy   0.1240 eV per atom

=====

Entry 5:
An optimized crystal structure of CrCu2Te, computed with PBE-GGA.

```
4
Lattice="-2.785 4.109 -0.170 -2.962 0.366 3.971 4.867 -0.830 -0.543" Properties=species:S:1:pos:R:3 pbc="T T T"
Cr -0.396 2.758 0.594
Cu -0.484 0.887 2.664
Cu 0.000 0.000 0.000
Te -2.874 2.238 1.900
```

Computed properties:
Symmetry   No. 119
Crystal system   tetragonal
Raw formation energy   0.3104 eV per atom

=====

Entry 6:
An optimized crystal structure of AlRe2, computed with PBE-GGA.

```
6
Lattice="0.000 3.657 3.657 3.657 0.000 3.657 3.657 3.657 0.000" Properties=species:S:1:pos:R:3 pbc="T T T"
Re 2.743 0.914 2.743
Re 0.914 0.914 0.914
Re 2.743 2.743 0.914
Re 0.914 2.743 2.743
Al 5.486 5.486 5.486
Al 3.657 3.657 3.657
```

Computed properties:
Formation enthalpy at 0 K   302 meV/atom
Symmetry   No. 227
Crystal system   cubic

=====

Entry 7:
An optimized crystal structure of Zn2TeIr, computed with PBE-GGA.

```
4
Lattice="4.029 0.000 0.000 0.000 3.075 0.008 0.000 1.514 6.226" Properties=species:S:1:pos:R:3 pbc="T T T"
Zn 2.015 0.954 1.968
Zn 0.000 0.956 0.350
Te 2.015 2.484 4.564
Ir 0.000 2.489 2.470
```

Computed properties:
Symmetry   No. 38
Crystal system   orthorhombic
Raw formation energy   0.0076 eV per atom

=====

Entry 8:
An optimized crystal structure of La2Sm5DyHo, computed with PBE-GGA.

```
18
Lattice="-3.211 3.842 -2.747 5.139 -5.292 -7.471 -8.096 -7.135 -0.516" Properties=species:S:1:pos:R:3 pbc="T T T"
Sm -6.611 -5.354 -5.697
Sm -2.403 -5.061 -10.206
Sm -3.432 0.070 -1.826
Sm -0.544 -4.101 -5.100
Sm -5.021 -2.567 -3.658
Sm -0.059 -0.258 -0.292
Sm -2.603 -8.539 -8.899
Sm -3.601 -7.033 -5.627
Sm 2.556 -2.755 -6.840
Sm -1.830 -0.903 -5.060
La -0.769 -2.352 -8.327
La -1.746 -3.056 -2.232
La -5.519 -6.497 -8.571
La -5.138 -6.004 -2.391
Dy -8.755 -5.554 -3.471
Dy -0.847 -6.058 -7.482
Ho 1.334 -1.427 -3.554
Ho -3.622 -3.739 -6.933
```

Computed properties:
Formation enthalpy at 0 K   131 meV/atom
Symmetry   No. 36
Crystal system   orthorhombic

=====

| no. | size of the total moment (μB per formula unit) | calculated total energy (eV per atom) |
| --- | --- | --- |
| 1 | 0.00 | -5.37 |
| 2 | 0.00 | -4.81 |
| 3 | 0.00 | -4.60 |
| 4 | 0.00 | -7.78 |
| 5 | 3.53 | -4.93 |
| 6 | 0.00 | -9.24 |
| 7 | 0.00 | -3.63 |
| 8 | 0.00 | -4.61 |